Entry 1:
Density functional theory data (SCAN) for KMnPt3 at its PBEsol-relaxed geometry.

Computed properties:
Energy of formation from the pure elements ... 2.095 eV per atom
Total DFT energy (no corrections) ... -45.34 eV/atom
V ... 110.2 Å³/cell

Unit cell a=4.794 b=4.794 c=4.794 alpha=90.00 beta=90.00 gamma=90.00
Atoms (fractional coordinates):
K 0.000 0.000 0.000
Mn 0.500 0.500 0.500
Pt 0.000 0.000 0.500
Pt 0.000 0.500 0.000
Pt 0.500 0.000 0.000



Entry 2:
Density functional theory data (SCAN) for ZrZnAu at its PBEsol-relaxed geometry.

Computed properties:
Energy of formation from the pure elements ... -0.626 eV per atom
Total DFT energy (no corrections) ... -38.42 eV/atom
V ... 51.4 Å³/cell

Unit cell a=4.497 b=4.497 c=2.934 alpha=90.00 beta=90.00 gamma=120.00
Atoms (fractional coordinates):
Zr 0.000 0.000 0.000
Zn 0.667 0.333 0.500
Au 0.333 0.667 0.500



Entry 3:
Density functional theory data (SCAN) for YTl2Ru at its PBEsol-relaxed geometry.

Computed properties:
Energy of formation from the pure elements ... -0.051 eV per atom
ΔE to the lowest computed polymorph ... 0.000 eV per atom
Total DFT energy (no corrections) ... -51.90 eV/atom
V ... 81.8 Å³/cell

Unit cell a=5.015 b=5.015 c=5.015 alpha=124.83 beta=124.83 gamma=81.81
Atoms (fractional coordinates):
Y 0.000 0.000 0.000
Tl 0.250 0.750 0.500
Tl 0.750 0.250 0.500
Ru 0.500 0.500 0.000



Entry 4:
Density functional theory data (SCAN) for Sr2YIn at its PBEsol-relaxed geometry.

Computed properties:
Energy of formation from the pure elements ... -0.089 eV per atom
Total DFT energy (no corrections) ... -26.53 eV/atom
V ... 132.9 Å³/cell

Unit cell a=6.000 b=6.000 c=6.000 alpha=127.19 beta=127.19 gamma=77.93
Atoms (fractional coordinates):
Sr 0.000 0.000 0.000
Sr 0.750 0.250 0.500
Y 0.500 0.500 0.000
In 0.250 0.750 0.500